A plane-wave DFT calculation with PBE was carried out for a relaxed structure of Ti6GaNi2.

a b c (Å): 7.170 7.170 7.170
angles (deg): 106.48 112.94 109.07
Fractional coordinates of all 18 atoms:
Ti 0.787 0.248 0.035
Ti 0.086 0.283 0.803
Ti 0.273 0.589 0.316
Ti 0.273 0.957 0.684
Ti 0.914 0.717 0.197
Ti 0.787 0.752 0.539
Ti 0.213 0.752 0.965
Ti 0.727 0.043 0.316
Ti 0.520 0.717 0.803
Ti 0.213 0.248 0.461
Ti 0.480 0.283 0.197
Ti 0.727 0.411 0.684
Ni 0.353 0.000 0.353
Ni 0.647 0.000 0.647
Ni 0.500 0.365 0.865
Ni 0.500 0.635 0.135
Ga 0.000 0.500 0.500
Ga 0.000 0.000 0.000

## Properties
ΔE_f in eV per atom: -0.23
VASP energy in eV per atom: -7.115
Space-group type: No. 71

=====

A plane-wave DFT calculation with PBE was carried out for a relaxed structure of Ti3GaNi.

a b c (Å): 4.715 4.715 9.224
angles (deg): 104.81 104.81 90.00
Fractional coordinates of all 10 atoms:
Ti 0.627 0.879 0.758
Ti 0.713 0.713 0.427
Ti 0.131 0.879 0.758
Ti 0.121 0.869 0.242
Ti 0.121 0.373 0.242
Ti 0.287 0.287 0.573
Ga 0.551 0.051 0.102
Ga 0.949 0.449 0.898
Ni 0.000 0.000 0.000
Ni 0.250 0.750 0.500

## Properties
Distance to the lowest polymorph of the same formula in meV per atom: 128
ΔE_f in eV per atom: 0.30
VASP energy in eV per atom: -6.194
Space-group type: No. 119

=====

A plane-wave DFT calculation with PBE was carried out for a relaxed structure of Ti2Ga4Ni.

a b c (Å): 6.308 6.308 5.309
angles (deg): 126.48 126.48 89.96
Fractional coordinates of all 7 atoms:
Ga 0.721 0.721 0.000
Ga 0.280 0.720 0.000
Ga 0.720 0.280 0.000
Ga 0.280 0.280 0.000
Ti 0.250 0.750 0.500
Ti 0.750 0.250 0.500
Ni 0.000 0.000 0.000

## Properties
Distance to the lowest polymorph of the same formula in meV per atom: 0
ΔE_f in eV per atom: -0.20
VASP energy in eV per atom: -5.016
Space-group type: No. 139

=====

A plane-wave DFT calculation with PBE was carried out for a relaxed structure of Ti11Ga9Ni4.

a b c (Å): 3.031 11.401 11.401
angles (deg): 113.00 90.00 90.00
Fractional coordinates of all 24 atoms:
Ti 0.000 0.158 0.842
Ti 0.000 0.946 0.592
Ti 0.000 0.000 0.000
Ti 0.000 0.408 0.054
Ti 0.000 0.625 0.375
Ti 0.000 0.375 0.625
Ti 0.000 0.690 0.690
Ti 0.000 0.592 0.946
Ti 0.000 0.054 0.408
Ti 0.000 0.310 0.310
Ti 0.000 0.842 0.158
Ga 0.500 0.782 0.928
Ga 0.500 0.371 0.839
Ga 0.500 0.161 0.629
Ga 0.500 0.839 0.371
Ga 0.500 0.928 0.782
Ga 0.500 0.218 0.072
Ga 0.500 0.629 0.161
Ga 0.500 0.500 0.500
Ga 0.500 0.072 0.218
Ni 0.500 0.244 0.447
Ni 0.500 0.756 0.553
Ni 0.500 0.447 0.244
Ni 0.500 0.553 0.756

## Properties
ΔE_f in eV per atom: -0.47
VASP energy in eV per atom: -6.188
Space-group type: No. 65

=====

A plane-wave DFT calculation with PBE was carried out for a relaxed structure of Ti3GaNi.

a b c (Å): 4.509 4.509 4.509
angles (deg): 90.00 90.00 90.00
Fractional coordinates of all 5 atoms:
Ga 0.500 0.500 0.500
Ti 0.000 0.000 0.500
Ti 0.500 0.000 0.000
Ti 0.000 0.500 0.000
Ni 0.000 0.000 0.000

## Properties
Distance to the lowest polymorph of the same formula in meV per atom: 0
ΔE_f in eV per atom: 0.18
VASP energy in eV per atom: -6.321
Space-group type: No. 221

=====

A plane-wave DFT calculation with PBE was carried out for a relaxed structure of TiGaNi6.

a b c (Å): 3.603 3.603 7.149
angles (deg): 90.00 90.00 90.00
Fractional coordinates of all 8 atoms:
Ni 0.500 0.000 0.751
Ni 0.500 0.500 0.000
Ni 0.500 0.500 0.500
Ni 0.500 0.000 0.249
Ni 0.000 0.500 0.249
Ni 0.000 0.500 0.751
Ga 0.000 0.000 0.000
Ti 0.000 0.000 0.500

## Properties
Distance to the lowest polymorph of the same formula in meV per atom: 0
ΔE_f in eV per atom: -0.40
VASP energy in eV per atom: -6.103
Space-group type: No. 123

=====

Asked for DOS(E_F) across the records above, the calculation gives 31.086 11.689 6.106 18.581 5.535 8.793 states/eV/cell in order.
Asked for ρ across the records above, the calculation gives 5.6 4.7 6.3 6.4 4.9 8.4 g cm⁻³ in order.